## MnIrO4 (GGA+U)

Data for a relaxed structure of MnIrO4.

Lattice parameters (Å, degrees): 4.540 5.515 5.583 109.54 90.00 90.00
Last column: magnetic moment on the atom in μB.
Fractional positions:
Mn: 0.000 0.500 0.500  4.01
Mn: 0.500 0.000 0.500  4.01
Ir: 0.500 0.500 0.000  -0.22
Ir: 0.000 0.000 0.000  -0.22
O: 0.292 0.832 0.142  0.00
O: 0.208 0.332 0.142  0.00
O: 0.687 0.639 0.341  -0.15
O: 0.187 0.861 0.659  -0.15
O: 0.813 0.139 0.341  -0.15
O: 0.313 0.361 0.659  -0.15
O: 0.792 0.668 0.858  0.00
O: 0.708 0.168 0.858  0.00

Values from the calculation:
VASP energy ... -0.26111 hartree per atom
D(E_F) ... 5.80 states/eV per cell
Total magnetic moment ... 7.15 μB/cell